A geometry-optimized YCu2Au2 structure. Source: OQMD, functional GGA-PBE.

Geometry as POSCAR:
```
YCu2Au2
1.0
-1.932 1.932 6.237
1.932 -1.932 6.237
1.932 1.932 -6.237
Y Cu Au
1 2 2
direct
0.000 0.000 0.000
0.250 0.750 0.500
0.750 0.250 0.500
0.389 0.389 0.000
0.611 0.611 0.000
```

Summary:
Its space-group type is No. 139.


A geometry-optimized Y2Cu3Au structure. Source: OQMD, functional GGA-PBE.

Geometry as POSCAR:
```
Y2Cu3Au
1.0
3.580 0.000 0.000
0.000 3.580 0.000
0.000 0.000 8.822
Y Cu Au
2 3 1
direct
0.000 0.000 0.000
0.500 0.500 0.488
0.000 0.000 0.322
0.000 0.000 0.659
0.500 0.500 0.172
0.500 0.500 0.823
```

Summary:
Its space-group type is No. 99.


| no. | final energy (eV per cell) | calculated formation energy (eV/atom) | M_tot (Bohr magnetons per cell) |
| --- | --- | --- | --- |
| 1 | -22.31 | -0.376 | 0.00 |
| 2 | -29.43 | -0.347 | 0.01 |